Density functional theory data (GGA-PBE) for NdAg2Au10 after structural relaxation.

Results
ρ (kg/m³): 15134
Formation enthalpy at 0 K (eV/atom): -0.17

Lattice parameters (Å, degrees): 5.629 7.314 7.292 81.46 67.30 67.37
Fractional positions:
Au (0.002, 0.652, 0.344)
Au (0.286, 0.215, 0.212)
Au (0.714, 0.785, 0.788)
Au (0.998, 0.348, 0.656)
Au (0.000, 0.000, 0.500)
Au (0.499, 0.215, 0.788)
Au (0.501, 0.785, 0.212)
Au (0.346, 0.652, 0.656)
Au (0.500, 0.000, 0.500)
Au (0.654, 0.348, 0.344)
Nd (0.000, 0.000, 0.000)
Ag (0.000, 0.500, 0.000)
Ag (0.500, 0.500, 0.000)